Density functional theory data (PBE) for a relaxed structure of Y2Tl3Mo4C3.

Properties
* crystal system: monoclinic
* calculated total energy: -0.283 hartree per atom

a b c (Å): 9.9892 5.8036 14.6725
angles (deg): 90.00 103.65 90.00
Last column: nearest neighbours and their distance in Å.
Space group C2/c (No. 15)
Inequivalent atoms, fractional coordinates:
Y1 0.0409 0.0785 0.3957 [8 per cell]  3 C 2.46-2.49
Tl1 0.0000 0.4875 0.2500 [4 per cell]  4 Tl 3.03-3.05, 4 Mo 3.14-3.17, 2 Y 3.16
Tl2 0.2047 0.1213 0.7540 [8 per cell]  4 Tl 3.03-3.05, 4 Mo 3.10-3.17, 2 Y 3.11-3.15
Mo1 0.1078 0.4074 0.5674 [8 per cell]  3 C 2.12-2.15
Mo2 0.2310 0.4233 0.9329 [8 per cell]  3 C 2.12-2.14
C1 0.0869 0.2612 0.9994 [8 per cell]  4 Mo 2.14-2.15
C2 0.2500 0.2500 0.5000 [4 per cell]  4 Mo 2.12

---

Density functional theory data (PBE) for a relaxed structure of Zr3SnCN.

Properties
* crystal system: trigonal
* calculated total energy: -0.328 hartree per atom

a b c (Å): 3.3221 3.3221 20.1358
angles (deg): 90.00 90.00 120.00
Last column: nearest neighbours and their distance in Å.
Space group P-3m1 (No. 164)
Inequivalent atoms, fractional coordinates:
Zr1 0.0000 0.0000 0.0000 [1 per cell]  6 N 2.32
Zr2 0.0000 0.0000 0.5000 [1 per cell]  6 C 2.38
Zr3 0.3333 0.6667 0.1297 [2 per cell]  3 N 2.32
Zr4 0.3333 0.6667 0.3705 [2 per cell]  3 C 2.26
Sn1 0.0000 0.0000 0.2494 [2 per cell]  6 Zr 3.08-3.10, 6 Sn 3.32
C1 0.3333 0.6667 0.5699 [2 per cell]  6 Zr 2.26-2.38
N1 0.3333 0.6667 0.9350 [2 per cell]  6 Zr 2.32